(1)
Ba2Lu2CuPtO8: optimized geometry, PBEsol.

The value obtained for the uncorrected energy is -7.19 eV per atom. For the total magnetization, the calculation gives 4.14 μB/cell. The calculation puts the volume at 13.2 A^3/atom. As for the uncorrected formation energy: -2375.8 meV per atom.

abc: 5.585 10.183 13.009
angles: 90.00 90.00 90.00
Fractional coordinates of all 56 atoms:
Ba 0.250 0.408 0.424
Ba 0.750 0.592 0.576
Ba 0.750 0.908 0.076
Ba 0.250 0.092 0.924
Ba 0.250 0.687 0.206
Ba 0.750 0.313 0.794
Ba 0.750 0.187 0.294
Ba 0.250 0.813 0.706
Lu 0.250 0.013 0.417
Lu 0.750 0.987 0.583
Lu 0.750 0.513 0.083
Lu 0.250 0.487 0.917
Lu 0.250 0.315 0.141
Lu 0.750 0.685 0.859
Lu 0.750 0.815 0.359
Lu 0.250 0.185 0.641
Cu 0.250 0.735 0.460
Cu 0.750 0.265 0.540
Cu 0.750 0.235 0.040
Cu 0.250 0.765 0.960
Pt 0.250 0.035 0.195
Pt 0.750 0.965 0.805
Pt 0.750 0.535 0.305
Pt 0.250 0.465 0.695
O 0.250 0.187 0.298
O 0.750 0.813 0.702
O 0.750 0.687 0.202
O 0.250 0.313 0.798
O 0.509 0.444 0.214
O 0.491 0.556 0.786
O 0.491 0.944 0.286
O 0.009 0.556 0.786
O 0.509 0.056 0.714
O 0.991 0.444 0.214
O 0.991 0.056 0.714
O 0.009 0.944 0.286
O 0.011 0.144 0.115
O 0.989 0.856 0.885
O 0.989 0.644 0.385
O 0.511 0.856 0.885
O 0.011 0.356 0.615
O 0.489 0.144 0.115
O 0.489 0.356 0.615
O 0.511 0.644 0.385
O 0.504 0.367 0.008
O 0.496 0.633 0.992
O 0.496 0.867 0.492
O 0.004 0.633 0.992
O 0.504 0.133 0.508
O 0.996 0.367 0.008
O 0.996 0.133 0.508
O 0.004 0.867 0.492
O 0.250 0.606 0.586
O 0.750 0.394 0.414
O 0.750 0.106 0.914
O 0.250 0.894 0.086

(2)
Tb2Co12P7: optimized geometry, PBEsol.

The value obtained for the uncorrected energy is -7.72 eV per atom. For the total magnetization, the calculation gives 4.57 μB/cell. The calculation puts the volume at 11.6 A^3/atom. As for the formation enthalpy at 0 K: -18.78 eV per formula unit.

abc: 3.538 8.905 8.905
angles: 120.00 90.00 90.00
Fractional coordinates of all 21 atoms:
Tb 0.000 0.000 0.000
Tb 0.500 0.667 0.333
Co 0.000 0.899 0.292
Co 0.000 0.393 0.101
Co 0.000 0.708 0.607
Co 0.500 0.952 0.719
Co 0.500 0.768 0.048
Co 0.500 0.281 0.232
Co 0.000 0.181 0.787
Co 0.000 0.606 0.819
Co 0.000 0.213 0.394
Co 0.500 0.099 0.536
Co 0.500 0.437 0.901
Co 0.500 0.464 0.563
P 0.500 0.223 0.958
P 0.500 0.735 0.777
P 0.500 0.042 0.265
P 0.000 0.333 0.667
P 0.000 0.929 0.555
P 0.000 0.626 0.071
P 0.000 0.445 0.374

(3)
Co4PCl: optimized geometry, PBEsol.

The value obtained for the uncorrected energy is -5.77 eV per atom. For the total magnetization, the calculation gives 6.66 μB/cell. The calculation puts the volume at 12.5 A^3/atom. As for the uncorrected formation energy: 691.6 meV per atom.

abc: 4.739 4.739 4.739
angles: 60.00 60.00 60.00
Fractional coordinates of all 6 atoms:
Cl 0.000 0.000 0.000
Co 0.872 0.376 0.376
Co 0.376 0.376 0.376
Co 0.376 0.376 0.872
Co 0.376 0.872 0.376
P 0.750 0.750 0.750

(4)
ReSn2Ir: optimized geometry, PBEsol.

The value obtained for the uncorrected energy is -7.65 eV per atom. For the total magnetization, the calculation gives 0.00 μB/cell. The calculation puts the volume at 16.9 A^3/atom. As for the formation enthalpy at 0 K: 1.06 eV per formula unit.

abc: 4.570 4.570 4.570
angles: 60.00 60.00 60.00
Fractional coordinates of all 4 atoms:
Re 0.000 0.000 0.000
Ir 0.500 0.500 0.500
Sn 0.250 0.250 0.250
Sn 0.750 0.750 0.750

(5)
Zr2TiBi2: optimized geometry, PBEsol.

The value obtained for the uncorrected energy is -6.51 eV per atom. For the total magnetization, the calculation gives 1.82 μB/cell. The calculation puts the volume at 26.4 A^3/atom. As for the formation enthalpy at 0 K: 2.51 eV per formula unit.

abc: 4.199 4.199 8.043
angles: 105.13 105.13 90.00
Fractional coordinates of all 5 atoms:
Bi 0.250 0.750 0.500
Bi 0.750 0.250 0.500
Zr 0.405 0.405 0.810
Zr 0.595 0.595 0.190
Ti 0.000 0.000 0.000

(6)
Tb3Mg: optimized geometry, PBEsol.

The value obtained for the uncorrected energy is -4.21 eV per atom. For the total magnetization, the calculation gives 0.00 μB/cell. The calculation puts the volume at 28.3 A^3/atom. As for the formation enthalpy at 0 K: -0.10 eV per formula unit.

abc: 3.503 3.503 9.222
angles: 90.00 90.00 90.00
Fractional coordinates of all 4 atoms:
Mg 0.000 0.000 0.000
Tb 0.500 0.500 0.761
Tb 0.000 0.000 0.500
Tb 0.500 0.500 0.239

(7)
SrBi3Cl3O4: optimized geometry, PBEsol.

The value obtained for the uncorrected energy is -5.41 eV per atom. For the total magnetization, the calculation gives 0.00 μB/cell. The calculation puts the volume at 18.7 A^3/atom. As for the uncorrected formation energy: -1615.7 meV per atom.

abc: 3.924 3.924 13.627
angles: 98.28 98.28 90.00
Fractional coordinates of all 11 atoms:
Sr 0.332 0.332 0.663
Bi 0.070 0.070 0.141
Bi 0.925 0.925 0.850
Bi 0.664 0.664 0.328
O 0.115 0.615 0.230
O 0.615 0.115 0.230
O 0.888 0.388 0.775
O 0.388 0.888 0.775
Cl 0.515 0.515 0.030
Cl 0.207 0.207 0.414
Cl 0.783 0.783 0.565

(8)
Co5Cu: optimized geometry, PBEsol.

The value obtained for the uncorrected energy is -7.11 eV per atom. For the total magnetization, the calculation gives 7.80 μB/cell. The calculation puts the volume at 10.5 A^3/atom. As for the formation enthalpy at 0 K: 0.36 eV per formula unit. For the energy above the most stable polymorph in this dataset, the calculation gives 0 meV/atom.

abc: 2.454 3.991 6.528
angles: 90.00 100.83 90.00
Fractional coordinates of all 6 atoms:
Co 0.001 0.000 0.002
Co 0.666 0.000 0.332
Co 0.331 0.000 0.662
Co 0.559 0.500 0.117
Co 0.221 0.500 0.441
Cu 0.889 0.500 0.779